Computed, not measured: a relaxed ScCo2SiC crystal at the GGA-PBE level of DFT.

Lattice parameters (Å, degrees): 3.533 5.507 6.593 90.00 90.00 108.71
Sites, in units of the cell vectors:
Sc  0.456  0.912  0.750
Sc  0.544  0.088  0.250
Co  0.163  0.326  0.945
Co  0.837  0.674  0.055
Co  0.163  0.326  0.555
Co  0.837  0.674  0.445
Si  0.732  0.465  0.750
Si  0.268  0.535  0.250
C  0.000  0.000  0.000
C  0.000  0.000  0.500

Calculated values
Crystal system: orthorhombic
Fermi-level density of states in states/eV/f.u.: 1.75
ρ in g/cm3: 5.546
Total magnetic moment in μB per atom: 0.00
ΔE_f (raw) in meV per atom: -575